No. 1
CePm3In after structural relaxation. Source: the Alexandria database, functional PBE-GGA.

Properties
The total DFT energy (no corrections) comes out at -4.634 eV/atom. The density of states at the Fermi level comes out at 1.998 states/eV/atom. As for the symmetry: C2/m, No. 12.

a = 7.671 Å, b = 7.671 Å, c = 5.990 Å
α = 107.18°, β = 107.18°, γ = 78.24°
Atoms (fractional coordinates):
1 Ce 0.043 0.043 0.313
2 Ce 0.957 0.957 0.687
3 Pm 0.152 0.515 0.351
4 Pm 0.313 0.687 0.000
5 Pm 0.485 0.848 0.649
6 Pm 0.515 0.152 0.351
7 Pm 0.687 0.313 0.000
8 Pm 0.848 0.485 0.649
9 In 0.253 0.253 0.836
10 In 0.747 0.747 0.164

No. 2
CePm7In4 after structural relaxation. Source: the Alexandria database, functional PBE-GGA.

Properties
The total DFT energy (no corrections) comes out at -4.307 eV/atom. The density of states at the Fermi level comes out at 1.281 states/eV/atom. As for the symmetry: C2/m, No. 12.

a = 7.934 Å, b = 7.934 Å, c = 10.693 Å
α = 120.89°, β = 120.89°, γ = 42.35°
Atoms (fractional coordinates):
1 Ce 0.000 0.000 0.000
2 Pm 0.064 0.064 0.396
3 Pm 0.206 0.206 0.881
4 Pm 0.278 0.278 0.336
5 Pm 0.500 0.500 0.000
6 Pm 0.722 0.722 0.664
7 Pm 0.794 0.794 0.119
8 Pm 0.936 0.936 0.604
9 In 0.320 0.320 0.666
10 In 0.442 0.442 0.246
11 In 0.558 0.558 0.754
12 In 0.680 0.680 0.334

No. 3
Ce2PmIn4 after structural relaxation. Source: the Alexandria database, functional PBE-GGA.

Properties
The total DFT energy (no corrections) comes out at -4.165 eV/atom. The density of states at the Fermi level comes out at 2.017 states/eV/atom. As for the symmetry: I4/mmm, No. 139.

a = 8.765 Å, b = 8.765 Å, c = 8.765 Å
α = 145.78°, β = 145.78°, γ = 49.18°
Atoms (fractional coordinates):
1 Ce 0.248 0.248 0.000
2 Ce 0.752 0.752 0.000
3 Pm 0.500 0.500 0.000
4 In 0.114 0.614 0.500
5 In 0.386 0.886 0.500
6 In 0.614 0.114 0.500
7 In 0.886 0.386 0.500

No. 4
CePm2In3 after structural relaxation. Source: the Alexandria database, functional PBE-GGA.

Properties
The total DFT energy (no corrections) comes out at -4.381 eV/atom. The density of states at the Fermi level comes out at 1.585 states/eV/atom. As for the symmetry: Cmmm, No. 65.

a = 7.891 Å, b = 7.891 Å, c = 9.044 Å
α = 90.00°, β = 90.00°, γ = 143.19°
Atoms (fractional coordinates):
1 Ce 0.173 0.827 0.000
2 Ce 0.827 0.173 0.000
3 Pm 0.167 0.833 0.500
4 Pm 0.500 0.500 0.000
5 Pm 0.500 0.500 0.500
6 Pm 0.833 0.167 0.500
7 In 0.000 0.000 0.249
8 In 0.000 0.000 0.751
9 In 0.335 0.665 0.252
10 In 0.335 0.665 0.748
11 In 0.665 0.335 0.252
12 In 0.665 0.335 0.748

| no. | ΔE_f (eV/atom) |
| --- | --- |
| 1 | -0.049 |
| 2 | -0.128 |
| 3 | -0.226 |
| 4 | -0.439 |